# 1
A geometry-optimized TaFeP structure. Source: Alexandria via LeMat-Bulk, functional PBE-GGA.

Results
SG   P-6m2
Magnetization   0.0 Bohr magnetons per cell
DFT formation energy   -543 meV per atom

a b c (Å): 3.923 3.923 2.936
angles (deg): 90.00 90.00 120.00
Atoms (fractional coordinates):
Fe (0.000, 0.000, 0.167)
P (0.333, 0.667, 0.167)
Ta (0.667, 0.333, 0.666)


# 2
A geometry-optimized Pm3Th structure. Source: Alexandria via LeMat-Bulk, functional PBE-GGA.

Results
SG   Imm2
Magnetization   0.0 Bohr magnetons per cell
DFT formation energy   67 meV per atom
Relative energy among the computed polymorphs   0.038 eV/atom

a b c (Å): 3.620 6.311 6.974
angles (deg): 116.90 105.04 90.00
Atoms (fractional coordinates):
Th (0.000, 0.998, 0.000)
Pm (0.252, 0.583, 0.504)
Pm (0.500, 0.507, 0.000)
Pm (0.748, 0.079, 0.496)


# 3
A geometry-optimized Ce2SmRuN4 structure. Source: Alexandria via LeMat-Bulk, functional PBE-GGA.

Results
SG   Cmcm
Magnetization   0.0 Bohr magnetons per cell
Raw formation energy   -1.043 eV per atom

a b c (Å): 3.430 6.183 11.673
angles (deg): 90.00 90.00 106.10
Atoms (fractional coordinates):
Ce (0.369, 0.738, 0.551)
Ce (0.631, 0.262, 0.051)
Ce (0.631, 0.262, 0.449)
Ce (0.369, 0.738, 0.949)
Sm (0.114, 0.228, 0.750)
Sm (0.886, 0.772, 0.250)
Ru (0.854, 0.707, 0.750)
Ru (0.146, 0.293, 0.250)
N (0.272, 0.544, 0.125)
N (0.728, 0.456, 0.625)
N (0.728, 0.456, 0.875)
N (0.272, 0.544, 0.375)
N (0.000, 0.000, 0.500)
N (0.000, 0.000, 0.000)
N (0.458, 0.916, 0.750)
N (0.542, 0.084, 0.250)


# 4
A geometry-optimized TiI2F structure. Source: Alexandria via LeMat-Bulk, functional PBE-GGA.

Results
SG   I-42d
Magnetization   2.0 Bohr magnetons per cell
Raw formation energy   -0.692 eV per atom
Relative energy among the computed polymorphs   0.000 eV/atom

a b c (Å): 6.887 6.887 7.118
angles (deg): 61.07 61.07 90.00
Site moments in Bohr magnetons follow the coordinates.
Atoms (fractional coordinates):
I (0.647, 0.125, 0.250)  -0.07
I (0.103, 0.625, 0.250)  -0.06
I (0.375, 0.353, 0.750)  -0.07
I (0.875, 0.897, 0.750)  -0.07
F (0.500, 0.500, 0.000)  -0.07
F (0.250, 0.750, 0.500)  -0.07
Ti (0.000, 0.000, 0.000)  1.05
Ti (0.750, 0.250, 0.500)  1.05


Which formula does entry 2 have? Pm3Th